First-principles (PBE) data for CaMnSi2Rh after structural relaxation, as listed in Alexandria via LeMat-Bulk.

Computed properties:
N(E_F)	6.46	states/eV per cell
E_tot	-0.27756	Ry per atom
energy relative to the lowest polymorph listed for this composition	267.96	kJ per mole of atoms
theoretical density	4.314	g/cm3
symmetry	No. 123
magnetization	0.00	Bohr magnetons per cell
ΔE_f (raw)	2097	meV/atom

Cell: 4.896 4.896 4.080 Å, 90.00 90.00 90.00°
Element x y z (fractional)
Ca 0.000 0.000 0.000
Mn 0.000 0.000 0.500
Si 0.000 0.500 0.000
Si 0.500 0.000 0.000
Rh 0.500 0.500 0.500

First-principles (PBE) data for CaMnSi2Rh after structural relaxation, as listed in Alexandria via LeMat-Bulk.

Computed properties:
N(E_F)	1.95	states/eV per cell
E_tot	-0.48168	Ry per atom
energy relative to the lowest polymorph listed for this composition	0.00	kJ per mole of atoms
theoretical density	5.059	g/cm3
symmetry	No. 119
magnetization	2.46	Bohr magnetons per cell
ΔE_f (raw)	-680	meV/atom

Cell: 5.869 5.869 5.869 Å, 139.81 139.81 58.13°
Element x y z (fractional)
Ca 0.000 0.000 0.000
Mn 0.750 0.250 0.500
Si 0.378 0.378 0.000
Si 0.622 0.622 0.000
Rh 0.250 0.750 0.500

First-principles (PBE) data for Ca2TiMnRh after structural relaxation, as listed in Alexandria via LeMat-Bulk.

Computed properties:
N(E_F)	6.60	states/eV per cell
E_tot	-0.36419	Ry per atom
theoretical density	3.964	g/cm3
symmetry	No. 123
magnetization	0.91	Bohr magnetons per cell
formation energy from the elements	0.7287	eV per atom

Cell: 5.296 5.296 4.270 Å, 90.00 90.00 90.00°
Element x y z (fractional)
Ca 0.000 0.500 0.000
Ca 0.500 0.000 0.000
Ti 0.000 0.000 0.500
Mn 0.000 0.000 0.000
Rh 0.500 0.500 0.500

First-principles (PBE) data for CaYMn2Rh after structural relaxation, as listed in Alexandria via LeMat-Bulk.

Computed properties:
N(E_F)	6.44	states/eV per cell
E_tot	-0.42598	Ry per atom
theoretical density	4.960	g/cm3
symmetry	No. 123
magnetization	7.20	Bohr magnetons per cell
formation energy from the elements	1.0355	eV per atom

Cell: 4.858 4.858 4.849 Å, 90.00 90.00 90.00°
Element x y z (fractional)
Ca 0.000 0.000 0.000
Y 0.500 0.500 0.500
Mn 0.000 0.500 0.000
Mn 0.500 0.000 0.000
Rh 0.000 0.000 0.500

First-principles (PBE) data for Ca2MnZn2Rh5 after structural relaxation, as listed in Alexandria via LeMat-Bulk.

Computed properties:
N(E_F)	15.42	states/eV per cell
E_tot	-0.40538	Ry per atom
theoretical density	7.750	g/cm3
symmetry	No. 127
magnetization	6.83	Bohr magnetons per cell
formation energy from the elements	-0.2677	eV per atom

Cell: 10.109 10.109 3.273 Å, 90.00 90.00 90.00°
Element x y z (fractional)
Ca 0.172 0.328 0.000
Ca 0.328 0.828 0.000
Ca 0.672 0.172 0.000
Ca 0.828 0.672 0.000
Mn 0.000 0.000 0.000
Mn 0.500 0.500 0.000
Zn 0.131 0.631 0.000
Zn 0.369 0.131 0.000
Zn 0.631 0.869 0.000
Zn 0.869 0.369 0.000
Rh 0.000 0.500 0.500
Rh 0.057 0.809 0.500
Rh 0.191 0.057 0.500
Rh 0.309 0.557 0.500
Rh 0.443 0.309 0.500
Rh 0.500 0.000 0.500
Rh 0.557 0.691 0.500
Rh 0.691 0.443 0.500
Rh 0.809 0.943 0.500
Rh 0.943 0.191 0.500

First-principles (PBE) data for Ca2MnRu after structural relaxation, as listed in Alexandria via LeMat-Bulk.

Computed properties:
N(E_F)	2.43	states/eV per cell
E_tot	-0.38091	Ry per atom
energy relative to the lowest polymorph listed for this composition	22.07	kJ per mole of atoms
theoretical density	4.694	g/cm3
symmetry	No. 119
magnetization	4.54	Bohr magnetons per cell
formation energy from the elements	0.4296	eV per atom

Cell: 4.918 4.918 4.918 Å, 120.45 120.45 89.22°
Element x y z (fractional)
Ca 0.000 0.000 0.000
Ca 0.750 0.250 0.500
Mn 0.250 0.750 0.500
Ru 0.500 0.500 0.000

First-principles (PBE) data for CaMnRu2 after structural relaxation, as listed in Alexandria via LeMat-Bulk.

Computed properties:
N(E_F)	4.48	states/eV per cell
E_tot	-0.51686	Ry per atom
energy relative to the lowest polymorph listed for this composition	14.72	kJ per mole of atoms
theoretical density	7.616	g/cm3
symmetry	No. 71
magnetization	2.40	Bohr magnetons per cell
formation energy from the elements	0.3985	eV per atom

Cell: 5.446 5.446 5.446 Å, 149.14 127.90 61.79°
Element x y z (fractional)
Ca 0.000 0.000 0.000
Mn 0.500 0.500 0.000
Ru 0.282 0.782 0.500
Ru 0.718 0.218 0.500

First-principles (PBE) data for CaMnRu2 after structural relaxation, as listed in Alexandria via LeMat-Bulk.

Computed properties:
N(E_F)	4.42	states/eV per cell
E_tot	-0.51067	Ry per atom
energy relative to the lowest polymorph listed for this composition	22.85	kJ per mole of atoms
theoretical density	7.481	g/cm3
symmetry	No. 119
magnetization	3.35	Bohr magnetons per cell
formation energy from the elements	0.4827	eV per atom

Cell: 4.533 4.533 4.533 Å, 119.92 119.92 90.13°
Element x y z (fractional)
Ca 0.000 0.000 0.000
Mn 0.750 0.250 0.500
Ru 0.250 0.750 0.500
Ru 0.500 0.500 0.000

First-principles (PBE) data for CaMnRu2 after structural relaxation, as listed in Alexandria via LeMat-Bulk.

Computed properties:
N(E_F)	5.01	states/eV per cell
E_tot	-0.51242	Ry per atom
energy relative to the lowest polymorph listed for this composition	20.55	kJ per mole of atoms
theoretical density	7.725	g/cm3
symmetry	No. 225
magnetization	2.70	Bohr magnetons per cell
formation energy from the elements	0.4589	eV per atom

Cell: 4.487 4.487 4.487 Å, 60.00 60.00 60.00°
Element x y z (fractional)
Ca 0.000 0.000 0.000
Mn 0.500 0.500 0.500
Ru 0.250 0.250 0.250
Ru 0.750 0.750 0.750

First-principles (PBE) data for CaMnRu2 after structural relaxation, as listed in Alexandria via LeMat-Bulk.

Computed properties:
N(E_F)	4.88	states/eV per cell
E_tot	-0.51878	Ry per atom
energy relative to the lowest polymorph listed for this composition	12.20	kJ per mole of atoms
theoretical density	7.106	g/cm3
symmetry	No. 8
magnetization	3.23	Bohr magnetons per cell
formation energy from the elements	0.3723	eV per atom

Cell: 5.137 5.137 4.933 Å, 106.13 106.13 33.88°
Element x y z (fractional)
Ca 0.000 0.000 0.000
Mn 0.782 0.782 0.305
Ru 0.230 0.230 0.664
Ru 0.505 0.505 0.512

First-principles (PBE) data for Ca2MnRu after structural relaxation, as listed in Alexandria via LeMat-Bulk.

Computed properties:
N(E_F)	5.02	states/eV per cell
E_tot	-0.39773	Ry per atom
energy relative to the lowest polymorph listed for this composition	0.00	kJ per mole of atoms
theoretical density	4.081	g/cm3
symmetry	No. 6
magnetization	3.74	Bohr magnetons per cell
formation energy from the elements	0.2008	eV per atom

Cell: 3.388 3.374 8.406 Å, 90.00 90.08 90.00°
Element x y z (fractional)
Ca 0.000 0.000 0.000
Ca 0.500 0.500 0.396
Mn 0.001 0.000 0.647
Ru 0.501 0.500 0.758

First-principles (PBE) data for CaMnRu2 after structural relaxation, as listed in Alexandria via LeMat-Bulk.

Computed properties:
N(E_F)	3.46	states/eV per cell
E_tot	-0.51838	Ry per atom
energy relative to the lowest polymorph listed for this composition	12.72	kJ per mole of atoms
theoretical density	7.367	g/cm3
symmetry	No. 44
magnetization	3.44	Bohr magnetons per cell
formation energy from the elements	0.3778	eV per atom

Cell: 5.532 5.532 5.532 Å, 148.40 130.37 60.03°
Element x y z (fractional)
Ca 0.000 0.000 0.000
Mn 0.722 0.222 0.500
Ru 0.270 0.770 0.500
Ru 0.493 0.493 0.000